Record 1
Compound: K2RbDyI6
Source: Alexandria
Functional: GGA-PBE
Structure: optimized geometry

Properties
formation energy from raw total energies	-1449	meV/atom

a = 9.1911 Å, b = 9.1911 Å, c = 9.1911 Å
α = 56.90°, β = 56.90°, γ = 56.90°
Last column: nearest neighbours and their distance in Å.
Fractional positions:
K1 0.0000 0.0000 0.0000  6 I 3.60-3.65
K2 0.4883 0.4883 0.4883  6 I 3.51-3.66
Rb1 0.2901 0.2901 0.2901  6 I 3.61-3.79
Dy1 0.8001 0.8001 0.8001  6 I 3.05-3.06
I1 0.0324 0.4524 0.6965  1 Dy 3.05
I2 0.1552 0.8863 0.6022  1 Dy 3.06
I3 0.4524 0.6965 0.0324  1 Dy 3.05
I4 0.6022 0.1552 0.8863  1 Dy 3.06
I5 0.6965 0.0324 0.4524  1 Dy 3.05
I6 0.8863 0.6022 0.1552  1 Dy 3.06

Record 2
Compound: SrMg2Hg
Source: Alexandria
Functional: GGA-PBE
Structure: optimized geometry

Properties
energy of formation	-0.597	eV per formula unit

a = 4.6480 Å, b = 4.7321 Å, c = 5.2299 Å
α = 90.00°, β = 90.00°, γ = 90.00°
Last column: nearest neighbours and their distance in Å.
Fractional positions:
Sr1 0.0000 0.0000 0.0000  4 Hg 3.32, 8 Mg 3.50-3.53
Mg1 0.0000 0.5000 0.5000  4 Mg 3.32, 4 Hg 3.50, 4 Sr 3.53
Mg2 0.5000 0.0000 0.5000  4 Mg 3.32, 4 Sr 3.50, 4 Hg 3.53
Hg1 0.5000 0.5000 0.0000  4 Sr 3.32, 8 Mg 3.50-3.53

Record 3
Compound: InTcHg2
Source: Alexandria
Functional: GGA-PBE
Structure: optimized geometry

Properties
energy of formation	1.881	eV per formula unit

a = 5.6123 Å, b = 5.6123 Å, c = 5.6123 Å
α = 137.31°, β = 137.31°, γ = 61.97°
Last column: nearest neighbours and their distance in Å.
Fractional positions:
In1 0.0000 0.0000 0.0000  4 Tc 2.89, 8 Hg 3.16
Tc1 0.5000 0.5000 0.0000  4 In 2.89, 8 Hg 3.16
Hg1 0.2500 0.7500 0.5000  4 Hg 2.89, 4 Tc 3.16, 4 In 3.16
Hg2 0.7500 0.2500 0.5000  4 Hg 2.89, 4 Tc 3.16, 4 In 3.16